# NiMoRh2

A relaxed NiMoRh2 crystal (GGA-PBE, Alexandria via LeMat-Bulk).

```
NiMoRh2
1.0
-2.539 3.100 1.519
-1.874 0.557 -4.269
-3.819 -3.713 1.192
Ni Mo Rh
2 2 4
direct
0.500 0.666 0.500
0.000 0.334 0.000
0.000 0.339 0.500
0.500 0.661 0.000
0.500 0.178 0.247
0.500 0.178 0.753
0.000 0.822 0.747
0.000 0.822 0.253
```

Summary:
ΔE to the lowest computed polymorph, eV/atom: 0.0000

# Ni3MoRh

A relaxed Ni3MoRh crystal (GGA-PBE, Alexandria via LeMat-Bulk).

```
Ni3MoRh
1.0
-1.118 -1.574 3.605
4.857 -4.956 -0.657
6.703 -0.882 1.694
Ni Mo Rh
6 2 2
direct
0.250 0.337 0.337
0.750 0.663 0.663
0.243 0.932 0.437
0.757 0.563 0.068
0.743 0.068 0.563
0.257 0.437 0.932
0.250 0.878 0.878
0.750 0.122 0.122
0.000 0.333 0.667
0.500 0.667 0.333
```

Summary:
ΔE to the lowest computed polymorph, eV/atom: 0.0000

# Ni5MoRh6

A relaxed Ni5MoRh6 crystal (GGA-PBE, Alexandria via LeMat-Bulk).

```
Ni5MoRh6
1.0
8.200 -0.452 0.000
1.931 3.262 0.000
0.966 1.631 5.686
Ni Mo Rh
5 1 6
direct
0.500 0.163 0.675
0.000 0.335 0.330
0.500 0.500 0.000
0.000 0.665 0.670
0.500 0.837 0.325
0.000 0.000 0.000
0.748 0.084 0.336
0.252 0.580 0.336
0.251 0.249 0.000
0.749 0.751 0.000
0.748 0.420 0.664
0.252 0.916 0.664
```

Summary:
ΔE to the lowest computed polymorph, eV/atom: 0.0000

# Ni4MoRh2

A relaxed Ni4MoRh2 crystal (GGA-PBE, Alexandria via LeMat-Bulk).

```
Ni4MoRh2
1.0
-1.404 -5.865 -2.155
6.035 -0.142 -2.135
-3.641 -0.705 5.923
Ni Mo Rh
8 2 4
direct
0.929 0.943 0.234
0.216 0.836 0.413
0.829 0.945 0.912
0.882 0.944 0.573
0.309 0.140 0.319
0.541 0.052 0.733
0.430 0.760 0.820
0.879 0.441 0.073
0.035 0.514 0.485
0.223 0.203 0.986
0.705 0.362 0.646
0.532 0.688 0.145
0.603 0.441 0.331
0.139 0.480 0.832
```

Summary:
ΔE to the lowest computed polymorph, eV/atom: 0.0000

# Ni4MoRh3

A relaxed Ni4MoRh3 crystal (GGA-PBE, Alexandria via LeMat-Bulk).

```
Ni4MoRh3
1.0
4.379 0.000 0.000
0.000 2.701 -0.520
-2.189 -2.398 9.360
Ni Mo Rh
4 1 3
direct
0.629 0.886 0.258
0.371 0.114 0.742
0.880 0.641 0.761
0.120 0.359 0.239
0.500 0.000 0.000
0.000 0.500 0.000
0.238 0.214 0.476
0.762 0.786 0.524
```

# NiMoRh4

A relaxed NiMoRh4 crystal (GGA-PBE, Alexandria via LeMat-Bulk).

```
NiMoRh4
1.0
-0.857 -1.976 1.694
5.004 -3.005 1.243
-3.791 3.752 4.675
Ni Mo Rh
1 1 4
direct
0.500 0.500 0.500
0.000 0.000 0.000
0.835 0.500 0.829
0.322 0.021 0.335
0.165 0.500 0.171
0.678 0.979 0.665
```

Summary:
ΔE to the lowest computed polymorph, eV/atom: 0.0000

# Ni3MoRh

A relaxed Ni3MoRh crystal (GGA-PBE, Alexandria via LeMat-Bulk).

```
Ni3MoRh
1.0
4.382 0.000 0.000
0.000 4.382 0.000
0.000 0.000 4.382
Ni Mo Rh
3 1 1
direct
0.000 0.500 0.000
0.000 0.000 0.500
0.500 0.000 0.000
0.000 0.000 0.000
0.500 0.500 0.500
```

Summary:
ΔE to the lowest computed polymorph, eV/atom: 1.2514

# NiMoRh2

A relaxed NiMoRh2 crystal (GGA-PBE, Alexandria via LeMat-Bulk).

```
NiMoRh2
1.0
-0.802 -2.898 2.403
-1.285 -2.099 -2.961
3.415 -1.369 -0.511
Ni Mo Rh
1 1 2
direct
0.000 0.500 0.500
0.500 0.000 0.500
0.000 0.000 0.000
0.500 0.500 0.000
```

Summary:
ΔE to the lowest computed polymorph, eV/atom: 0.1010

# NiMoRh2

A relaxed NiMoRh2 crystal (GGA-PBE, Alexandria via LeMat-Bulk).

```
NiMoRh2
1.0
-4.358 1.379 -0.829
-4.243 -1.260 -1.412
-1.912 -0.998 4.140
Mo Ni Rh
1 1 2
direct
0.750 0.750 0.750
0.250 0.250 0.250
0.998 0.998 0.005
0.502 0.502 0.495
```

Summary:
ΔE to the lowest computed polymorph, eV/atom: 0.1447

# NiMoRh2

A relaxed NiMoRh2 crystal (GGA-PBE, Alexandria via LeMat-Bulk).

```
NiMoRh2
1.0
-1.623 -1.592 -3.647
2.530 -0.509 -3.436
1.096 -3.948 -1.296
Mo Ni Rh
1 1 2
direct
0.500 0.500 0.500
0.750 0.750 0.750
0.000 0.000 0.000
0.250 0.250 0.250
```

Summary:
ΔE to the lowest computed polymorph, eV/atom: 0.3519

# NiMo2Rh6

A relaxed NiMo2Rh6 crystal (GGA-PBE, Alexandria via LeMat-Bulk).

```
NiMo2Rh6
1.0
-1.440 -2.436 -2.631
-2.306 -3.658 1.811
-7.971 1.805 -0.145
Ni Mo Rh
1 2 6
direct
0.000 0.500 0.500
0.331 0.618 0.720
0.669 0.382 0.280
0.668 0.719 0.945
0.332 0.281 0.055
0.000 0.826 0.174
0.336 0.935 0.393
0.000 0.174 0.826
0.664 0.065 0.607
```

Summary:
ΔE to the lowest computed polymorph, eV/atom: 0.0000

# Ni5Mo2Rh

A relaxed Ni5Mo2Rh crystal (GGA-PBE, Alexandria via LeMat-Bulk).

```
Ni5Mo2Rh
1.0
5.218 -0.025 -0.036
-2.591 4.530 0.036
-2.591 -1.507 4.272
Ni Mo Rh
5 2 1
direct
0.500 0.778 0.778
0.000 0.778 0.278
0.000 0.278 0.778
0.500 0.278 0.278
0.000 0.278 0.278
0.500 0.278 0.778
0.500 0.778 0.278
0.000 0.778 0.778
```

Ordered calculated formation energy results: -0.2117 0.2121 -0.0327 0.0426 0.1655 -0.0718 1.4635 -0.1108 -0.0671 0.1402 -0.1531 0.0268; unit eV per atom.
Ordered calculated total energy results: -64.32 -68.93 -84.24 -96.72 -54.69 -46.45 -28.21 -31.76 -31.58 -30.75 -72.93 -57.71; unit eV/cell.